# LuTlCuPd PBE-GGA optimized geometry
data_LuTlCuPd
_chemical_formula_sum 'Lu1 Tl1 Cu1 Pd1'
_cell_length_a 4.7521
_cell_length_b 4.7521
_cell_length_c 4.7521
_cell_angle_alpha 60.00
_cell_angle_beta 60.00
_cell_angle_gamma 60.00
_space_group_name_H-M_alt 'P 1'
_space_group_IT_number 1
loop_
_space_group_symop_operation_xyz
'x,y,z'
loop_
_atom_site_label
_atom_site_fract_x
_atom_site_fract_y
_atom_site_fract_z
Cu1 0.7500 0.7500 0.7500
Tl1 0.0000 0.0000 0.0000
Pd1 0.2500 0.2500 0.2500
Lu1 0.5000 0.5000 0.5000
# - Total DFT energy (no corrections): -17.73 eV/cell



# YLuCuPd PBE-GGA optimized geometry
data_YLuCuPd
_chemical_formula_sum 'Y1 Lu1 Cu1 Pd1'
_cell_length_a 4.8972
_cell_length_b 4.8972
_cell_length_c 4.8972
_cell_angle_alpha 60.00
_cell_angle_beta 60.00
_cell_angle_gamma 60.00
_space_group_name_H-M_alt 'P 1'
_space_group_IT_number 1
loop_
_space_group_symop_operation_xyz
'x,y,z'
loop_
_atom_site_label
_atom_site_fract_x
_atom_site_fract_y
_atom_site_fract_z
Cu1 0.0000 0.0000 0.0000
Y1 0.7500 0.7500 0.7500
Pd1 0.5000 0.5000 0.5000
Lu1 0.2500 0.2500 0.2500
# - Total DFT energy (no corrections): -22.64 eV/cell



# LuZnCuPd PBE-GGA optimized geometry
data_LuZnCuPd
_chemical_formula_sum 'Lu1 Zn1 Cu1 Pd1'
_cell_length_a 4.5776
_cell_length_b 4.5776
_cell_length_c 4.5776
_cell_angle_alpha 60.00
_cell_angle_beta 60.00
_cell_angle_gamma 60.00
_space_group_name_H-M_alt 'P 1'
_space_group_IT_number 1
loop_
_space_group_symop_operation_xyz
'x,y,z'
loop_
_atom_site_label
_atom_site_fract_x
_atom_site_fract_y
_atom_site_fract_z
Zn1 0.5000 0.5000 0.5000
Lu1 0.0000 0.0000 0.0000
Pd1 0.7500 0.7500 0.7500
Cu1 0.2500 0.2500 0.2500
# - Total DFT energy (no corrections): -17.03 eV/cell



# PmLu2Cu PBE-GGA optimized geometry
data_PmLu2Cu
_chemical_formula_sum 'Pm1 Lu2 Cu1'
_cell_length_a 3.5918
_cell_length_b 3.5918
_cell_length_c 9.9124
_cell_angle_alpha 79.56
_cell_angle_beta 79.56
_cell_angle_gamma 60.00
_space_group_name_H-M_alt 'P 1'
_space_group_IT_number 1
loop_
_space_group_symop_operation_xyz
'x,y,z'
loop_
_atom_site_label
_atom_site_fract_x
_atom_site_fract_y
_atom_site_fract_z
Lu1 0.2679 0.2679 0.1962
Lu2 0.7321 0.7321 0.8038
Cu1 0.0000 0.0000 0.0000
Pm1 0.5000 0.5000 0.5000
# - Distance to the lowest polymorph of the same formula: 131.9 meV per atom



# PmLu2Cu PBE-GGA optimized geometry
data_PmLu2Cu
_chemical_formula_sum 'Pm1 Lu2 Cu1'
_cell_length_a 3.4320
_cell_length_b 3.4320
_cell_length_c 8.7235
_cell_angle_alpha 90.00
_cell_angle_beta 90.00
_cell_angle_gamma 90.00
_space_group_name_H-M_alt 'P 1'
_space_group_IT_number 1
loop_
_space_group_symop_operation_xyz
'x,y,z'
loop_
_atom_site_label
_atom_site_fract_x
_atom_site_fract_y
_atom_site_fract_z
Cu1 0.5000 0.5000 0.0000
Lu1 0.0000 0.0000 0.8087
Lu2 0.0000 0.0000 0.1913
Pm1 0.5000 0.5000 0.5000
# - Distance to the lowest polymorph of the same formula: 0.0 meV per atom



# PmLuCu2 PBE-GGA optimized geometry
data_PmLuCu2
_chemical_formula_sum 'Pm1 Lu1 Cu2'
_cell_length_a 3.4489
_cell_length_b 3.4489
_cell_length_c 7.0465
_cell_angle_alpha 90.00
_cell_angle_beta 90.00
_cell_angle_gamma 90.00
_space_group_name_H-M_alt 'P 1'
_space_group_IT_number 1
loop_
_space_group_symop_operation_xyz
'x,y,z'
loop_
_atom_site_label
_atom_site_fract_x
_atom_site_fract_y
_atom_site_fract_z
Pm1 0.5000 0.5000 0.5000
Lu1 0.5000 0.5000 0.0000
Cu1 0.0000 0.0000 0.7771
Cu2 0.0000 0.0000 0.2229
# - Distance to the lowest polymorph of the same formula: 0.0 meV per atom



# PmLuCu2 PBE-GGA optimized geometry
data_PmLuCu2
_chemical_formula_sum 'Pm1 Lu1 Cu2'
_cell_length_a 4.9259
_cell_length_b 4.9259
_cell_length_c 4.9259
_cell_angle_alpha 60.00
_cell_angle_beta 60.00
_cell_angle_gamma 60.00
_space_group_name_H-M_alt 'P 1'
_space_group_IT_number 1
loop_
_space_group_symop_operation_xyz
'x,y,z'
loop_
_atom_site_label
_atom_site_fract_x
_atom_site_fract_y
_atom_site_fract_z
Cu1 0.2500 0.2500 0.2500
Cu2 0.7500 0.7500 0.7500
Pm1 0.0000 0.0000 0.0000
Lu1 0.5000 0.5000 0.5000
# - Distance to the lowest polymorph of the same formula: 18.7 meV per atom



# PmLuCuPt PBE-GGA optimized geometry
data_PmLuCuPt
_chemical_formula_sum 'Pm1 Lu1 Cu1 Pt1'
_cell_length_a 4.9433
_cell_length_b 4.9433
_cell_length_c 4.9433
_cell_angle_alpha 60.00
_cell_angle_beta 60.00
_cell_angle_gamma 60.00
_space_group_name_H-M_alt 'P 1'
_space_group_IT_number 1
loop_
_space_group_symop_operation_xyz
'x,y,z'
loop_
_atom_site_label
_atom_site_fract_x
_atom_site_fract_y
_atom_site_fract_z
Pt1 0.7500 0.7500 0.7500
Lu1 0.5000 0.5000 0.5000
Pm1 0.0000 0.0000 0.0000
Cu1 0.2500 0.2500 0.2500
# - Total DFT energy (no corrections): -22.36 eV/cell



# PmLuCuRu PBE-GGA optimized geometry
data_PmLuCuRu
_chemical_formula_sum 'Pm1 Lu1 Cu1 Ru1'
_cell_length_a 4.8725
_cell_length_b 4.8725
_cell_length_c 4.8725
_cell_angle_alpha 60.00
_cell_angle_beta 60.00
_cell_angle_gamma 60.00
_space_group_name_H-M_alt 'P 1'
_space_group_IT_number 1
loop_
_space_group_symop_operation_xyz
'x,y,z'
loop_
_atom_site_label
_atom_site_fract_x
_atom_site_fract_y
_atom_site_fract_z
Pm1 0.5000 0.5000 0.5000
Lu1 0.0000 0.0000 0.0000
Cu1 0.2500 0.2500 0.2500
Ru1 0.7500 0.7500 0.7500
# - Total DFT energy (no corrections): -23.81 eV/cell



# PmLuCuSn PBE-GGA optimized geometry
data_PmLuCuSn
_chemical_formula_sum 'Pm1 Lu1 Cu1 Sn1'
_cell_length_a 5.1631
_cell_length_b 5.1631
_cell_length_c 5.1631
_cell_angle_alpha 60.00
_cell_angle_beta 60.00
_cell_angle_gamma 60.00
_space_group_name_H-M_alt 'P 1'
_space_group_IT_number 1
loop_
_space_group_symop_operation_xyz
'x,y,z'
loop_
_atom_site_label
_atom_site_fract_x
_atom_site_fract_y
_atom_site_fract_z
Lu1 0.5000 0.5000 0.5000
Pm1 0.0000 0.0000 0.0000
Cu1 0.7500 0.7500 0.7500
Sn1 0.2500 0.2500 0.2500
# - Total DFT energy (no corrections): -18.97 eV/cell



# PmLuCuTc PBE-GGA optimized geometry
data_PmLuCuTc
_chemical_formula_sum 'Pm1 Lu1 Cu1 Tc1'
_cell_length_a 4.8825
_cell_length_b 4.8825
_cell_length_c 4.8825
_cell_angle_alpha 60.00
_cell_angle_beta 60.00
_cell_angle_gamma 60.00
_space_group_name_H-M_alt 'P 1'
_space_group_IT_number 1
loop_
_space_group_symop_operation_xyz
'x,y,z'
loop_
_atom_site_label
_atom_site_fract_x
_atom_site_fract_y
_atom_site_fract_z
Pm1 0.5000 0.5000 0.5000
Lu1 0.0000 0.0000 0.0000
Cu1 0.2500 0.2500 0.2500
Tc1 0.7500 0.7500 0.7500
# - Total DFT energy (no corrections): -23.97 eV/cell



# PmLuTlCu PBE-GGA optimized geometry
data_PmLuTlCu
_chemical_formula_sum 'Pm1 Lu1 Tl1 Cu1'
_cell_length_a 5.1979
_cell_length_b 5.1979
_cell_length_c 5.1979
_cell_angle_alpha 60.00
_cell_angle_beta 60.00
_cell_angle_gamma 60.00
_space_group_name_H-M_alt 'P 1'
_space_group_IT_number 1
loop_
_space_group_symop_operation_xyz
'x,y,z'
loop_
_atom_site_label
_atom_site_fract_x
_atom_site_fract_y
_atom_site_fract_z
Pm1 0.5000 0.5000 0.5000
Lu1 0.0000 0.0000 0.0000
Cu1 0.7500 0.7500 0.7500
Tl1 0.2500 0.2500 0.2500
# - Total DFT energy (no corrections): -16.63 eV/cell



# PmLuZnCu PBE-GGA optimized geometry
data_PmLuZnCu
_chemical_formula_sum 'Pm1 Lu1 Zn1 Cu1'
_cell_length_a 4.9942
_cell_length_b 4.9942
_cell_length_c 4.9942
_cell_angle_alpha 60.00
_cell_angle_beta 60.00
_cell_angle_gamma 60.00
_space_group_name_H-M_alt 'P 1'
_space_group_IT_number 1
loop_
_space_group_symop_operation_xyz
'x,y,z'
loop_
_atom_site_label
_atom_site_fract_x
_atom_site_fract_y
_atom_site_fract_z
Cu1 0.2500 0.2500 0.2500
Pm1 0.0000 0.0000 0.0000
Zn1 0.7500 0.7500 0.7500
Lu1 0.5000 0.5000 0.5000
# - Total DFT energy (no corrections): -15.71 eV/cell



# Pr2LuCu PBE-GGA optimized geometry
data_Pr2LuCu
_chemical_formula_sum 'Pr2 Lu1 Cu1'
_cell_length_a 3.6594
_cell_length_b 3.6594
_cell_length_c 8.4782
_cell_angle_alpha 90.00
_cell_angle_beta 90.00
_cell_angle_gamma 90.00
_space_group_name_H-M_alt 'P 1'
_space_group_IT_number 1
loop_
_space_group_symop_operation_xyz
'x,y,z'
loop_
_atom_site_label
_atom_site_fract_x
_atom_site_fract_y
_atom_site_fract_z
Lu1 0.5000 0.5000 0.5000
Pr1 0.0000 0.0000 0.2075
Pr2 0.0000 0.0000 0.7925
Cu1 0.5000 0.5000 0.0000
# - Distance to the lowest polymorph of the same formula: 0.0 meV per atom



# PrLuCu PBE-GGA optimized geometry
data_PrLuCu
_chemical_formula_sum 'Pr1 Lu1 Cu1'
_cell_length_a 3.5016
_cell_length_b 3.5016
_cell_length_c 6.7146
_cell_angle_alpha 105.11
_cell_angle_beta 105.11
_cell_angle_gamma 90.00
_space_group_name_H-M_alt 'P 1'
_space_group_IT_number 1
loop_
_space_group_symop_operation_xyz
'x,y,z'
loop_
_atom_site_label
_atom_site_fract_x
_atom_site_fract_y
_atom_site_fract_z
Pr1 0.3142 0.3142 0.6284
Cu1 0.6503 0.6503 0.3005
Lu1 0.0355 0.0355 0.0711
# - Distance to the lowest polymorph of the same formula: 0.0 meV per atom



# PrLuCu2 PBE-GGA optimized geometry
data_PrLuCu2
_chemical_formula_sum 'Pr1 Lu1 Cu2'
_cell_length_a 3.4693
_cell_length_b 3.4693
_cell_length_c 7.1194
_cell_angle_alpha 90.00
_cell_angle_beta 90.00
_cell_angle_gamma 90.00
_space_group_name_H-M_alt 'P 1'
_space_group_IT_number 1
loop_
_space_group_symop_operation_xyz
'x,y,z'
loop_
_atom_site_label
_atom_site_fract_x
_atom_site_fract_y
_atom_site_fract_z
Cu1 0.0000 0.0000 0.7839
Cu2 0.0000 0.0000 0.2161
Lu1 0.5000 0.5000 0.0000
Pr1 0.5000 0.5000 0.5000
# - Distance to the lowest polymorph of the same formula: 0.0 meV per atom



| no. | Fermi-level density of states (states/eV/atom) |
| --- | --- |
| 1 | 0.81 |
| 2 | 0.83 |
| 3 | 0.66 |
| 4 | 1.23 |
| 5 | 1.20 |
| 6 | 0.49 |
| 7 | 0.90 |
| 8 | 0.49 |
| 9 | 0.83 |
| 10 | 0.89 |
| 11 | 0.89 |
| 12 | 0.75 |
| 13 | 0.49 |
| 14 | 1.63 |
| 15 | 0.89 |
| 16 | 0.44 |